First-principles (PBE) data for a relaxed AcTiBi3 crystal, as listed in Alexandria.

Computed properties:
The value obtained for the volume is 620 Å³/cell. For the total energy, the calculation gives -5.227 eV per atom. For the calculated formation energy, the calculation gives -498 meV/atom. For the excess energy over the best structure of this formula in the dataset, the calculation gives 0 meV/atom.

a = 6.4747 Å, b = 6.7266 Å, c = 14.2379 Å
α = 90.00°, β = 90.00°, γ = 90.00°
Closest atoms and distances in Å follow each position.
Sites, in units of the cell vectors:
Ti (0.5000, 0.7500, 0.9122)  6 Bi 2.88-2.93
Ti (0.5000, 0.2500, 0.0878)  6 Bi 2.88-2.93
Ti (0.0000, 0.2500, 0.0878)  6 Bi 2.88-2.93
Ti (0.0000, 0.7500, 0.9122)  6 Bi 2.88-2.93
Bi (0.0000, 0.2500, 0.4977)  4 Bi 3.24-3.36, 4 Ac 3.57
Bi (0.2500, 0.5127, 0.7828)  2 Ti 2.93
Bi (0.7500, 0.3989, 0.9342)  4 Ti 2.88-2.90
Bi (0.0000, 0.7500, 0.5023)  4 Bi 3.24-3.36, 4 Ac 3.57
Bi (0.2500, 0.0127, 0.2172)  2 Ti 2.93
Bi (0.2500, 0.6011, 0.0658)  4 Ti 2.88-2.90
Bi (0.2500, 0.1011, 0.9342)  4 Ti 2.88-2.90
Bi (0.7500, 0.9873, 0.7828)  2 Ti 2.93
Bi (0.5000, 0.2500, 0.4977)  4 Bi 3.24-3.36, 4 Ac 3.57
Bi (0.7500, 0.4873, 0.2172)  2 Ti 2.93
Bi (0.5000, 0.7500, 0.5023)  4 Bi 3.24-3.36, 4 Ac 3.57
Bi (0.7500, 0.8989, 0.0658)  4 Ti 2.88-2.90
Ac (0.7500, 0.9928, 0.3101)  9 Bi 3.50-3.65
Ac (0.2500, 0.0072, 0.6899)  9 Bi 3.50-3.65
Ac (0.2500, 0.5072, 0.3101)  9 Bi 3.50-3.65
Ac (0.7500, 0.4928, 0.6899)  9 Bi 3.50-3.65


First-principles (PBE) data for a relaxed Ag2SnPd2 crystal, as listed in Alexandria.

Computed properties:
The value obtained for the volume is 185 Å³/cell. For the total energy, the calculation gives -4.028 eV per atom. For the calculated formation energy, the calculation gives -10 meV/atom. For the excess energy over the best structure of this formula in the dataset, the calculation gives 139 meV/atom.

a = 7.5142 Å, b = 7.5142 Å, c = 3.2817 Å
α = 90.00°, β = 90.00°, γ = 90.00°
Closest atoms and distances in Å follow each position.
Sites, in units of the cell vectors:
Pd (0.3346, 0.1654, 0.5000)  6 Ag 2.71-2.78
Pd (0.8346, 0.3346, 0.5000)  6 Ag 2.71-2.78
Pd (0.1654, 0.6654, 0.5000)  6 Ag 2.71-2.78
Pd (0.6654, 0.8346, 0.5000)  6 Ag 2.71-2.78
Ag (0.3682, 0.8682, 0.0000)  6 Pd 2.71-2.78, 1 Ag 2.80, 2 Sn 2.94
Ag (0.8682, 0.6318, 0.0000)  6 Pd 2.71-2.78, 1 Ag 2.80, 2 Sn 2.94
Ag (0.6318, 0.1318, 0.0000)  6 Pd 2.71-2.78, 1 Ag 2.80, 2 Sn 2.94
Ag (0.1318, 0.3682, 0.0000)  6 Pd 2.71-2.78, 1 Ag 2.80, 2 Sn 2.94
Sn (0.0000, 0.0000, 0.0000)  4 Ag 2.94, 8 Pd 3.25, 2 Sn 3.28
Sn (0.5000, 0.5000, 0.0000)  4 Ag 2.94, 8 Pd 3.25, 2 Sn 3.28


Copy entry 1 word for word.
First-principles (PBE) data for a relaxed AcTiBi3 crystal, as listed in Alexandria.

Computed properties:
The value obtained for the volume is 620 Å³/cell. For the total energy, the calculation gives -5.227 eV per atom. For the calculated formation energy, the calculation gives -498 meV/atom. For the excess energy over the best structure of this formula in the dataset, the calculation gives 0 meV/atom.

a = 6.4747 Å, b = 6.7266 Å, c = 14.2379 Å
α = 90.00°, β = 90.00°, γ = 90.00°
Closest atoms and distances in Å follow each position.
Sites, in units of the cell vectors:
Ti (0.5000, 0.7500, 0.9122)  6 Bi 2.88-2.93
Ti (0.5000, 0.2500, 0.0878)  6 Bi 2.88-2.93
Ti (0.0000, 0.2500, 0.0878)  6 Bi 2.88-2.93
Ti (0.0000, 0.7500, 0.9122)  6 Bi 2.88-2.93
Bi (0.0000, 0.2500, 0.4977)  4 Bi 3.24-3.36, 4 Ac 3.57
Bi (0.2500, 0.5127, 0.7828)  2 Ti 2.93
Bi (0.7500, 0.3989, 0.9342)  4 Ti 2.88-2.90
Bi (0.0000, 0.7500, 0.5023)  4 Bi 3.24-3.36, 4 Ac 3.57
Bi (0.2500, 0.0127, 0.2172)  2 Ti 2.93
Bi (0.2500, 0.6011, 0.0658)  4 Ti 2.88-2.90
Bi (0.2500, 0.1011, 0.9342)  4 Ti 2.88-2.90
Bi (0.7500, 0.9873, 0.7828)  2 Ti 2.93
Bi (0.5000, 0.2500, 0.4977)  4 Bi 3.24-3.36, 4 Ac 3.57
Bi (0.7500, 0.4873, 0.2172)  2 Ti 2.93
Bi (0.5000, 0.7500, 0.5023)  4 Bi 3.24-3.36, 4 Ac 3.57
Bi (0.7500, 0.8989, 0.0658)  4 Ti 2.88-2.90
Ac (0.7500, 0.9928, 0.3101)  9 Bi 3.50-3.65
Ac (0.2500, 0.0072, 0.6899)  9 Bi 3.50-3.65
Ac (0.2500, 0.5072, 0.3101)  9 Bi 3.50-3.65
Ac (0.7500, 0.4928, 0.6899)  9 Bi 3.50-3.65


- Among the records above, which one has the lowest excess energy over the best structure of this formula in the dataset?
  AcTiBi3


What did the second record say?
First-principles (PBE) data for a relaxed Ag2SnPd2 crystal, as listed in Alexandria.

Computed properties:
The value obtained for the volume is 185 Å³/cell. For the total energy, the calculation gives -4.028 eV per atom. For the calculated formation energy, the calculation gives -10 meV/atom. For the excess energy over the best structure of this formula in the dataset, the calculation gives 139 meV/atom.

a = 7.5142 Å, b = 7.5142 Å, c = 3.2817 Å
α = 90.00°, β = 90.00°, γ = 90.00°
Closest atoms and distances in Å follow each position.
Sites, in units of the cell vectors:
Pd (0.3346, 0.1654, 0.5000)  6 Ag 2.71-2.78
Pd (0.8346, 0.3346, 0.5000)  6 Ag 2.71-2.78
Pd (0.1654, 0.6654, 0.5000)  6 Ag 2.71-2.78
Pd (0.6654, 0.8346, 0.5000)  6 Ag 2.71-2.78
Ag (0.3682, 0.8682, 0.0000)  6 Pd 2.71-2.78, 1 Ag 2.80, 2 Sn 2.94
Ag (0.8682, 0.6318, 0.0000)  6 Pd 2.71-2.78, 1 Ag 2.80, 2 Sn 2.94
Ag (0.6318, 0.1318, 0.0000)  6 Pd 2.71-2.78, 1 Ag 2.80, 2 Sn 2.94
Ag (0.1318, 0.3682, 0.0000)  6 Pd 2.71-2.78, 1 Ag 2.80, 2 Sn 2.94
Sn (0.0000, 0.0000, 0.0000)  4 Ag 2.94, 8 Pd 3.25, 2 Sn 3.28
Sn (0.5000, 0.5000, 0.0000)  4 Ag 2.94, 8 Pd 3.25, 2 Sn 3.28


- The highest volume belongs to which entry?
  AcTiBi3